Material: MnAsAuSe2
Method: DFT, GGA-PBE
State: relaxed

Lattice parameters (Å, degrees): 4.776 4.776 4.658 90.00 90.00 90.00
Site moments in Bohr magnetons follow the coordinates.
Positions (direct):
As (0.000, 0.000, 0.500)  -0.18
Mn (0.000, 0.000, 0.000)  2.52
Au (0.500, 0.500, 0.500)  -0.01
Se (0.000, 0.500, 0.000)  0.02
Se (0.500, 0.000, 0.000)  0.02

Values from the calculation:
Space-group type   P4/mmm (123)
Formation energy from raw total energies   2.155 eV per formula unit
Energy above the most stable polymorph in this dataset   0.00 kcal/mol of atoms
D(E_F)   4.34 states/eV/f.u.
V   106 Å³ per cell


Material: MnAsAuSe2
Method: DFT, GGA-PBE
State: relaxed

Lattice parameters (Å, degrees): 5.205 5.205 4.843 90.00 90.00 90.00
Site moments in Bohr magnetons follow the coordinates.
Positions (direct):
Se (0.000, 0.500, 0.000)  -0.01
Se (0.500, 0.000, 0.000)  -0.01
Mn (0.500, 0.500, 0.500)  4.46
Au (0.000, 0.000, 0.000)  -0.01
As (0.000, 0.000, 0.500)  -0.24

Values from the calculation:
Space-group type   P4/mmm (123)
Formation energy from raw total energies   3.974 eV per formula unit
Energy above the most stable polymorph in this dataset   8.39 kcal/mol of atoms
D(E_F)   3.35 states/eV/f.u.
V   131 Å³ per cell


- What is the energy above the most stable polymorph in this dataset in the first record?
  0.00 kcal/mol of atoms


- Look up the formation energy from raw total energies of the first one.
  2.155 eV per formula unit


- Which formula does entry 2 have?
  MnAsAuSe2